The following is a PBE calculation of an optimized crystal structure of AcSm4Pd2, from Alexandria.

Summary:
- D(E_F): 9.61 states/eV/f.u.
- Total magnetic moment: 0.000 μB per cell
- Crystal system: monoclinic
- Total energy: -5.149 eV per atom

Lattice parameters (Å, degrees): 7.9372 6.7153 8.3671 90.00 110.94 90.00
Closest atoms and distances in Å follow each position.
Space group P2_1/m (No. 11)
Unique sites:
Ac  0.1394  0.2500  0.0209 [2 per cell]  2 Pd 3.15-3.28
Sm  0.0289  0.2500  0.4051 [2 per cell]  1 Pd 2.80
Sm  0.2565  0.7500  0.3526 [2 per cell]  2 Pd 2.83-2.99
Sm  0.3973  0.0036  0.7624 [4 per cell]  4 Pd 3.03-3.33, 1 Sm 3.31
Pd  0.2832  0.7500  0.0050 [2 per cell]  5 Sm 2.99-3.07, 1 Ac 3.28
Pd  0.3845  0.2500  0.4122 [2 per cell]  4 Sm 2.80-3.14